No. 1
Compound: AgPbAu2Cl6
Source: the Alexandria database
Functional: PBE
Structure: relaxed

Output
The density is 5.58 g/cm³. Its density of states at the Fermi level is 6.55 states/eV/f.u. For the uncorrected formation energy, the calculation gives -0.441 eV per atom.

abc: 6.9878 6.9881 7.6293
angles: 62.80 62.78 60.04
Space group P1 (No. 1)
Symmetry-distinct sites (fractional):
Ag1 0.0000 0.0000 0.0000 x1
Pb1 0.4997 0.5003 0.5001 x1
Au1 0.2521 0.2519 0.2437 x1
Au2 0.7471 0.7479 0.7570 x1
Cl1 0.0897 0.7618 0.7576 x1
Cl2 0.2371 0.6092 0.2436 x1
Cl3 0.3908 0.0904 0.7578 x1
Cl4 0.6090 0.9100 0.2436 x1
Cl5 0.7618 0.3908 0.7575 x1
Cl6 0.9097 0.2378 0.2433 x1

***

No. 2
Compound: AgPdAu2Cl
Source: the Alexandria database
Functional: PBE
Structure: relaxed

Output
The density is 8.72 g/cm³. Its density of states at the Fermi level is 1.88 states/eV/f.u. For the uncorrected formation energy, the calculation gives 0.466 eV per atom.

abc: 5.1803 5.1803 4.5689
angles: 90.00 90.00 90.00
Space group P4/mmm (No. 123)
Symmetry-distinct sites (fractional):
Ag1 0.0000 0.0000 0.0000 x1
Pd1 0.5000 0.5000 0.5000 x1
Au1 0.0000 0.5000 0.5000 x2
Cl1 0.5000 0.5000 0.0000 x1

***

No. 3
Compound: Ag2PdAuCl6
Source: the Alexandria database
Functional: PBE
Structure: relaxed

Output
The density is 4.66 g/cm³. Its density of states at the Fermi level is 2.85 states/eV/f.u. For the uncorrected formation energy, the calculation gives -0.360 eV per atom.

abc: 6.2491 6.9596 7.3089
angles: 75.25 66.40 64.23
Space group P1 (No. 1)
Symmetry-distinct sites (fractional):
Ag1 0.0000 0.0000 0.0000 x1
Ag2 0.1821 0.4503 0.5006 x1
Pd1 0.4823 0.2453 0.9675 x1
Au1 0.4802 0.7501 0.4691 x1
Cl1 0.0664 0.7945 0.6935 x1
Cl2 0.2745 0.0541 0.2357 x1
Cl3 0.3572 0.1409 0.7580 x1
Cl4 0.6020 0.3474 0.1797 x1
Cl5 0.6880 0.4390 0.6997 x1
Cl6 0.9065 0.6878 0.2608 x1

***

No. 4
Compound: Ag2PdAuCl8
Source: the Alexandria database
Functional: PBE
Structure: relaxed

Output
The density is 4.17 g/cm³. Its density of states at the Fermi level is 9.29 states/eV/f.u. For the uncorrected formation energy, the calculation gives -0.361 eV per atom.

abc: 4.7367 6.8655 10.0401
angles: 101.04 90.27 94.58
Space group P-1 (No. 2)
Symmetry-distinct sites (fractional):
Ag1 0.0036 0.2439 0.2594 x2
Pd1 0.5000 0.0000 0.5000 x1
Au1 0.5000 0.5000 0.0000 x1
Cl1 0.1597 0.2371 0.0082 x2
Cl2 0.1718 0.7318 0.5012 x2
Cl3 0.3607 0.4985 0.7760 x2
Cl4 0.3736 0.9977 0.2773 x2

***

No. 5
Compound: AgPtAu2Cl
Source: the Alexandria database
Functional: PBE
Structure: relaxed

Output
The density is 10.85 g/cm³. Its density of states at the Fermi level is 1.87 states/eV/f.u. For the uncorrected formation energy, the calculation gives 1.021 eV per atom.

abc: 4.8375 4.8375 4.7879
angles: 90.00 90.00 90.00
Space group P4/mmm (No. 123)
Symmetry-distinct sites (fractional):
Ag1 0.0000 0.0000 0.0000 x1
Pt1 0.5000 0.5000 0.0000 x1
Au1 0.0000 0.5000 0.5000 x2
Cl1 0.0000 0.0000 0.5000 x1

***

No. 6
Compound: SiAgAu2Cl
Source: the Alexandria database
Functional: PBE
Structure: relaxed

Output
The density is 7.35 g/cm³. Its density of states at the Fermi level is 4.85 states/eV/f.u. For the uncorrected formation energy, the calculation gives 0.769 eV per atom.

abc: 5.2170 5.2170 4.6938
angles: 90.00 90.00 90.00
Space group P4/mmm (No. 123)
Symmetry-distinct sites (fractional):
Si1 0.0000 0.0000 0.0000 x1
Ag1 0.0000 0.0000 0.5000 x1
Au1 0.0000 0.5000 0.5000 x2
Cl1 0.5000 0.5000 0.0000 x1

***

No. 7
Compound: AgSnAu2Cl
Source: the Alexandria database
Functional: PBE
Structure: relaxed

Output
The density is 8.07 g/cm³. Its density of states at the Fermi level is 1.09 states/eV/f.u. For the uncorrected formation energy, the calculation gives 0.696 eV per atom.

abc: 4.9080 4.9080 5.6067
angles: 90.00 90.00 90.00
Space group P4/mmm (No. 123)
Symmetry-distinct sites (fractional):
Ag1 0.0000 0.0000 0.0000 x1
Sn1 0.5000 0.5000 0.0000 x1
Au1 0.0000 0.5000 0.5000 x2
Cl1 0.5000 0.5000 0.5000 x1

***

No. 8
Compound: SrAgAuCl2
Source: the Alexandria database
Functional: PBE
Structure: relaxed

Output
The density is 4.97 g/cm³. Its density of states at the Fermi level is 0.52 states/eV/f.u. For the uncorrected formation energy, the calculation gives -0.487 eV per atom.

abc: 4.9549 4.9549 6.3096
angles: 90.00 90.00 90.00
Space group P4/mmm (No. 123)
Symmetry-distinct sites (fractional):
Sr1 0.0000 0.0000 0.0000 x1
Ag1 0.0000 0.0000 0.5000 x1
Au1 0.5000 0.5000 0.0000 x1
Cl1 0.0000 0.5000 0.5000 x2

***

Question: What is the formula in the eighth record?
Answer: SrAgAuCl2